GGA-PBE TeP2S2, optimized geometry; mass density = 4.3 g cm⁻³; energy above the most stable polymorph in this dataset = 0.2275 eV per atom; uncorrected formation energy = 0.8014 eV/atom; total DFT energy (no corrections) = -3.64 eV per atom; space group = P4/mmm
1.0
4.664 0.000 0.000
0.000 4.664 0.000
0.000 0.000 4.462
Te P S
1 2 2
direct
0.000 0.000 0.000
0.000 0.500 0.500
0.500 0.000 0.500
0.500 0.500 0.000
0.500 0.500 0.500

***

GGA-PBE NaInSn, optimized geometry; mass density = 5.0 g cm⁻³; energy of formation from the pure elements = -166 meV per atom; total DFT energy (no corrections) = -2.85 eV per atom; space group = P2_1/c
1.0
6.390 0.000 0.000
0.000 8.334 0.000
-4.834 0.000 6.401
Na In Sn
4 4 4
direct
0.200 0.205 0.096
0.200 0.295 0.596
0.800 0.705 0.404
0.800 0.795 0.904
0.269 0.587 0.950
0.269 0.913 0.450
0.731 0.087 0.550
0.731 0.413 0.050
0.257 0.578 0.320
0.257 0.922 0.820
0.743 0.078 0.180
0.743 0.422 0.680

***

GGA-PBE AcZn4Ir2, optimized geometry; mass density = 11.0 g cm⁻³; energy of formation from the pure elements = -336 meV per atom; energy above the most stable polymorph in this dataset = 0.0698 eV per atom; total DFT energy (no corrections) = -4.18 eV per atom; space group = Cmmm
1.0
2.125 -7.289 0.000
2.125 7.289 0.000
0.000 0.000 4.247
Ac Zn Ir
1 4 2
direct
0.000 0.000 0.000
0.194 0.806 0.500
0.313 0.687 0.000
0.687 0.313 0.000
0.806 0.194 0.500
0.414 0.586 0.500
0.586 0.414 0.500

***

GGA-PBE TlHgPd3, optimized geometry; mass density = 12.4 g cm⁻³; energy of formation from the pure elements = -157 meV per atom; energy above the most stable polymorph in this dataset = 0.0000 eV per atom; total DFT energy (no corrections) = -3.81 eV per atom; space group = Pmmn
1.0
4.492 0.000 0.000
0.000 5.668 0.000
0.000 0.000 7.626
Tl Hg Pd
2 2 6
direct
0.250 0.250 0.057
0.750 0.750 0.943
0.250 0.750 0.371
0.750 0.250 0.629
0.250 0.250 0.416
0.250 0.508 0.748
0.250 0.992 0.748
0.750 0.008 0.252
0.750 0.492 0.252
0.750 0.750 0.584

***

GGA-PBE Ba2ZrCuTe5, optimized geometry; mass density = 5.8 g cm⁻³; uncorrected formation energy = -1.0540 eV/atom; total DFT energy (no corrections) = -4.63 eV per atom; space group = Cmc2_1
1.0
2.187 -10.208 0.000
2.187 10.208 0.000
0.000 0.000 13.732
Ba Zr Cu Te
4 2 2 10
direct
0.120 0.880 0.500
0.122 0.878 0.871
0.878 0.122 0.371
0.880 0.120 0.000
0.190 0.810 0.192
0.810 0.190 0.692
0.421 0.579 0.610
0.579 0.421 0.110
0.050 0.950 0.207
0.298 0.702 0.837
0.300 0.700 0.545
0.337 0.663 0.186
0.495 0.505 0.454
0.505 0.495 0.954
0.663 0.337 0.686
0.700 0.300 0.045
0.702 0.298 0.337
0.950 0.050 0.707

***

GGA-PBE Sr2CoTcBi, optimized geometry; mass density = 5.1 g cm⁻³; energy of formation from the pure elements = 800 meV per atom; total DFT energy (no corrections) = -4.14 eV per atom; space group = P4/mmm
1.0
5.834 0.000 0.000
0.000 5.834 0.000
0.000 0.000 5.167
Sr Co Tc Bi
2 1 1 1
direct
0.000 0.500 0.000
0.500 0.000 0.000
0.000 0.000 0.500
0.500 0.500 0.000
0.500 0.500 0.500

***

GGA-PBE Mg2Tl5Pb4, optimized geometry; mass density = 9.0 g cm⁻³; energy of formation from the pure elements = 41 meV per atom; energy above the most stable polymorph in this dataset = 0.0322 eV per atom; total DFT energy (no corrections) = -2.67 eV per atom; space group = Immm
1.0
-1.701 4.884 10.536
1.701 -4.884 10.536
1.701 4.884 -10.536
Mg Tl Pb
2 5 4
direct
0.090 0.090 0.000
0.910 0.910 0.000
0.106 0.342 0.764
0.422 0.658 0.764
0.500 0.000 0.500
0.578 0.342 0.236
0.894 0.658 0.236
0.193 0.500 0.693
0.235 0.235 0.000
0.765 0.765 0.000
0.807 0.500 0.307

***

GGA-PBE LiZr2CuH, optimized geometry; mass density = 5.8 g cm⁻³; total DFT energy (no corrections) = -5.40 eV per atom; space group = P4/mmm
1.0
4.480 0.000 0.000
0.000 4.480 0.000
0.000 0.000 3.624
Li Zr Cu H
1 2 1 1
direct
0.000 0.000 0.000
0.000 0.500 0.500
0.500 0.000 0.500
0.500 0.500 0.000
0.000 0.000 0.500

***

GGA-PBE CaPm2HoHg4, optimized geometry; mass density = 10.0 g cm⁻³; energy of formation from the pure elements = -513 meV per atom; total DFT energy (no corrections) = -2.67 eV per atom; space group = R-3m
1.0
2.671 1.542 8.714
-2.671 1.542 8.714
0.000 -3.084 8.714
Ca Pm Ho Hg
1 2 1 4
direct
0.000 0.000 0.000
0.251 0.251 0.251
0.749 0.749 0.749
0.500 0.500 0.500
0.127 0.127 0.127
0.377 0.377 0.377
0.623 0.623 0.623
0.873 0.873 0.873

***

GGA-PBE SrSbOs2, optimized geometry; mass density = 12.3 g cm⁻³; uncorrected formation energy = 0.9852 eV/atom; total DFT energy (no corrections) = -6.08 eV per atom; space group = F-43m
1.0
0.000 3.415 3.415
3.415 0.000 3.415
3.415 3.415 0.000
Sr Sb Os
1 1 2
direct
0.000 0.000 0.000
0.750 0.750 0.750
0.250 0.250 0.250
0.500 0.500 0.500

***

GGA-PBE PrErMnAg, optimized geometry; mass density = 8.0 g cm⁻³; energy of formation from the pure elements = 31 meV per atom; total DFT energy (no corrections) = -5.31 eV per atom; space group = F-43m
1.0
0.000 3.657 3.657
3.657 0.000 3.657
3.657 3.657 0.000
Pr Er Mn Ag
1 1 1 1
direct
0.000 0.000 0.000
0.500 0.500 0.500
0.750 0.750 0.750
0.250 0.250 0.250

***

GGA-PBE BePt2W, optimized geometry; mass density = 16.9 g cm⁻³; energy of formation from the pure elements = -105 meV per atom; total DFT energy (no corrections) = -7.30 eV per atom; space group = I-4m2
1.0
-1.945 1.945 3.775
1.945 -1.945 3.775
1.945 1.945 -3.775
Be Pt W
1 2 1
direct
0.000 0.000 0.000
0.250 0.750 0.500
0.500 0.500 0.000
0.750 0.250 0.500

***

GGA-PBE Mn2AlP, optimized geometry; mass density = 5.5 g cm⁻³; energy of formation from the pure elements = -182 meV per atom; energy above the most stable polymorph in this dataset = 0.1252 eV per atom; total DFT energy (no corrections) = -7.05 eV per atom; space group = Amm2
1.0
4.138 0.000 0.000
0.000 1.363 4.455
0.000 -1.363 4.455
Mn Al P
2 1 1
direct
0.000 0.000 0.000
0.500 0.378 0.378
0.000 0.736 0.736
0.500 0.103 0.103

***

GGA-PBE TmMgGaCu, optimized geometry; mass density = 7.2 g cm⁻³; energy of formation from the pure elements = -360 meV per atom; total DFT energy (no corrections) = -3.66 eV per atom; space group = F-43m
1.0
0.000 3.349 3.349
3.349 0.000 3.349
3.349 3.349 0.000
Tm Mg Ga Cu
1 1 1 1
direct
0.000 0.000 0.000
0.500 0.500 0.500
0.750 0.750 0.750
0.250 0.250 0.250

***

GGA-PBE DyTi2Si4, optimized geometry; mass density = 5.3 g cm⁻³; uncorrected formation energy = -0.6153 eV/atom; total DFT energy (no corrections) = -6.63 eV per atom; space group = Immm
1.0
-1.884 1.888 8.170
1.884 -1.888 8.170
1.884 1.888 -8.170
Dy Ti Si
1 2 4
direct
0.000 0.000 0.000
0.316 0.816 0.500
0.684 0.184 0.500
0.161 0.661 0.500
0.428 0.428 0.000
0.572 0.572 0.000
0.839 0.339 0.500

***

GGA-PBE Co2MoRu, optimized geometry; mass density = 10.4 g cm⁻³; energy of formation from the pure elements = 43 meV per atom; energy above the most stable polymorph in this dataset = 0.0333 eV per atom; total DFT energy (no corrections) = -8.54 eV per atom; space group = I4/mmm
1.0
-1.842 1.842 3.709
1.842 -1.842 3.709
1.842 1.842 -3.709
Co Mo Ru
2 1 1
direct
0.250 0.750 0.500
0.750 0.250 0.500
0.000 0.000 0.000
0.500 0.500 0.000

***

GGA-PBE LiHg5, optimized geometry; mass density = 11.4 g cm⁻³; energy of formation from the pure elements = -96 meV per atom; energy above the most stable polymorph in this dataset = 0.0237 eV per atom; total DFT energy (no corrections) = -0.67 eV per atom; space group = Amm2
1.0
5.423 0.000 0.000
0.000 1.775 7.671
0.000 -1.775 7.671
Li Hg
1 5
direct
0.000 0.000 0.000
0.000 0.341 0.341
0.000 0.654 0.654
0.500 0.115 0.115
0.500 0.452 0.452
0.500 0.782 0.782

***

GGA-PBE NpCuN, optimized geometry; mass density = 10.5 g cm⁻³; uncorrected formation energy = -0.4318 eV/atom; total DFT energy (no corrections) = -8.89 eV per atom; space group = R-3m
1.0
1.907 1.101 7.932
-1.907 1.101 7.932
0.000 -2.202 7.932
Np Cu N
2 2 2
direct
0.224 0.224 0.224
0.776 0.776 0.776
0.353 0.353 0.353
0.647 0.647 0.647
0.129 0.129 0.129
0.871 0.871 0.871

***

GGA-PBE TcN, optimized geometry; mass density = 6.3 g cm⁻³; energy above the most stable polymorph in this dataset = 0.3454 eV per atom; uncorrected formation energy = 0.3496 eV/atom; total DFT energy (no corrections) = -9.00 eV per atom; space group = Pm-3n
1.0
5.627 0.000 0.000
0.000 5.627 0.000
0.000 0.000 5.627
Tc N
6 6
direct
0.000 0.250 0.500
0.000 0.750 0.500
0.250 0.500 0.000
0.500 0.000 0.250
0.500 0.000 0.750
0.750 0.500 0.000
0.000 0.500 0.250
0.000 0.500 0.750
0.250 0.000 0.500
0.500 0.250 0.000
0.500 0.750 0.000
0.750 0.000 0.500

***

GGA-PBE TlTeAsO2, optimized geometry; mass density = 7.5 g cm⁻³; uncorrected formation energy = -0.3339 eV/atom; total DFT energy (no corrections) = -4.35 eV per atom; space group = P4/mmm
1.0
4.116 0.000 0.000
0.000 4.116 0.000
0.000 0.000 5.702
Tl Te As O
1 1 1 2
direct
0.000 0.000 0.000
0.500 0.500 0.500
0.500 0.500 0.000
0.000 0.500 0.500
0.500 0.000 0.500

***

GGA-PBE Na6SnAs4, optimized geometry; mass density = 3.2 g cm⁻³; energy of formation from the pure elements = -313 meV per atom; total DFT energy (no corrections) = -3.09 eV per atom; space group = P6_3mc
1.0
10.047 0.000 0.000
-5.024 8.701 0.000
0.000 0.000 6.611
Na Sn As
12 2 8
direct
0.032 0.516 0.000
0.154 0.308 0.264
0.154 0.846 0.264
0.308 0.154 0.764
0.484 0.516 0.000
0.484 0.968 0.000
0.516 0.032 0.500
0.516 0.484 0.500
0.692 0.846 0.264
0.846 0.154 0.764
0.846 0.692 0.764
0.968 0.484 0.500
0.333 0.667 0.646
0.667 0.333 0.146
0.186 0.373 0.749
0.186 0.814 0.749
0.333 0.667 0.245
0.373 0.186 0.249
0.627 0.814 0.749
0.667 0.333 0.745
0.814 0.186 0.249
0.814 0.627 0.249

***

GGA-PBE Al2VH2, optimized geometry; mass density = 3.4 g cm⁻³; total DFT energy (no corrections) = -4.58 eV per atom; space group = P4/mbm
1.0
5.270 0.000 0.000
0.000 5.270 0.000
0.000 0.000 3.804
Al V H
4 2 4
direct
0.186 0.314 0.000
0.314 0.814 0.000
0.686 0.186 0.000
0.814 0.686 0.000
0.000 0.000 0.500
0.500 0.500 0.500
0.184 0.316 0.500
0.316 0.816 0.500
0.684 0.184 0.500
0.816 0.684 0.500

***

GGA-PBE Be3GaFe, optimized geometry; mass density = 3.7 g cm⁻³; energy of formation from the pure elements = 1077 meV per atom; energy above the most stable polymorph in this dataset = 0.3698 eV per atom; total DFT energy (no corrections) = -3.46 eV per atom; space group = Pm-3m
1.0
4.092 0.000 0.000
0.000 4.092 0.000
0.000 0.000 4.092
Be Ga Fe
3 1 1
direct
0.000 0.000 0.500
0.000 0.500 0.000
0.500 0.000 0.000
0.000 0.000 0.000
0.500 0.500 0.500

***

GGA-PBE KInW2, optimized geometry; mass density = 7.3 g cm⁻³; energy of formation from the pure elements = 1664 meV per atom; total DFT energy (no corrections) = -5.77 eV per atom; space group = I-42d
1.0
-2.407 2.407 10.286
2.407 -2.407 10.286
2.407 2.407 -10.286
K In W
2 2 4
direct
0.000 0.000 0.000
0.750 0.250 0.500
0.250 0.750 0.500
0.500 0.500 0.000
0.351 0.625 0.226
0.375 0.601 0.726
0.399 0.125 0.774
0.875 0.649 0.274